a | Computed, not measured: a geometry-optimized ReSeBr2O structure at the GGA-PBEsol level of DFT.

Properties
- M_tot: 4.611 μB/cell
- SG: P4/mmm
- Crystal system: tetragonal

Lattice parameters (Å, degrees): 4.766 4.766 4.213 90.00 90.00 90.00
Fractional coordinates of all 5 atoms:
Re 0.000 0.000 0.000
Se 0.500 0.500 0.000
Br 0.000 0.500 0.500
Br 0.500 0.000 0.500
O 0.500 0.500 0.500

b | Computed, not measured: a geometry-optimized ReSeBr2O structure at the GGA-PBEsol level of DFT.

Properties
- M_tot: 0.638 μB/cell
- SG: P4/mmm
- Crystal system: tetragonal

Lattice parameters (Å, degrees): 5.038 5.038 4.679 90.00 90.00 90.00
Fractional coordinates of all 5 atoms:
Re 0.000 0.000 0.000
Se 0.000 0.000 0.500
Br 0.000 0.500 0.000
Br 0.500 0.000 0.000
O 0.500 0.500 0.500

Which of them is least stable? Easy: a.

a | Computed, not measured: a geometry-optimized ScBr3O structure at the GGA-PBEsol level of DFT.

Properties
- M_tot: 0.808 μB/cell
- SG: Pm-3m
- Crystal system: cubic

Lattice parameters (Å, degrees): 4.684 4.684 4.684 90.00 90.00 90.00
Fractional coordinates of all 5 atoms:
Sc 0.000 0.000 0.000
Br 0.000 0.500 0.500
Br 0.500 0.000 0.500
Br 0.500 0.500 0.000
O 0.500 0.500 0.500

b | Computed, not measured: a geometry-optimized ScBr3O structure at the GGA-PBEsol level of DFT.

Properties
- M_tot: 2.000 μB/cell
- SG: Pm-3m
- Crystal system: cubic

Lattice parameters (Å, degrees): 5.195 5.195 5.195 90.00 90.00 90.00
Fractional coordinates of all 5 atoms:
Sc 0.000 0.000 0.000
Br 0.000 0.000 0.500
Br 0.000 0.500 0.000
Br 0.500 0.000 0.000
O 0.500 0.500 0.500

Which of them is least stable? Easy: a.

a | Computed, not measured: a geometry-optimized Sr4Br6O structure at the GGA-PBEsol level of DFT.

Properties
- M_tot: 0.000 μB/cell
- SG: P4_2/nmc
- Crystal system: tetragonal

Lattice parameters (Å, degrees): 9.578 9.578 7.157 90.00 90.00 90.00
Fractional coordinates of all 22 atoms:
Sr 0.019 0.750 0.095
Sr 0.250 0.519 0.405
Sr 0.250 0.981 0.405
Sr 0.481 0.750 0.095
Sr 0.519 0.250 0.905
Sr 0.750 0.019 0.595
Sr 0.750 0.481 0.595
Sr 0.981 0.250 0.905
Br 0.047 0.547 0.750
Br 0.047 0.953 0.750
Br 0.250 0.250 0.130
Br 0.250 0.250 0.630
Br 0.453 0.547 0.750
Br 0.453 0.953 0.750
Br 0.547 0.047 0.250
Br 0.547 0.453 0.250
Br 0.750 0.750 0.370
Br 0.750 0.750 0.870
Br 0.953 0.047 0.250
Br 0.953 0.453 0.250
O 0.250 0.750 0.250
O 0.750 0.250 0.750

b | Computed, not measured: a geometry-optimized Sr4Br6O structure at the GGA-PBEsol level of DFT.

Properties
- M_tot: 0.004 μB/cell
- SG: P6_3mc
- Crystal system: hexagonal

Lattice parameters (Å, degrees): 9.792 9.792 7.511 90.00 90.00 120.00
Fractional coordinates of all 22 atoms:
Sr 0.200 0.401 0.000
Sr 0.200 0.800 0.000
Sr 0.333 0.667 0.586
Sr 0.401 0.200 0.500
Sr 0.599 0.800 0.000
Sr 0.667 0.333 0.086
Sr 0.800 0.200 0.500
Sr 0.800 0.599 0.500
Br 0.067 0.534 0.295
Br 0.139 0.278 0.614
Br 0.139 0.861 0.614
Br 0.278 0.139 0.114
Br 0.466 0.534 0.295
Br 0.466 0.933 0.295
Br 0.534 0.067 0.795
Br 0.534 0.466 0.795
Br 0.722 0.861 0.614
Br 0.861 0.139 0.114
Br 0.861 0.722 0.114
Br 0.933 0.466 0.795
O 0.333 0.667 0.901
O 0.667 0.333 0.401

Which of them is least stable? Easy: a.

a | Computed, not measured: a geometry-optimized OsBr structure at the GGA-PBEsol level of DFT.

Properties
- M_tot: 0.000 μB/cell
- SG: Pm-3m
- Crystal system: cubic

Lattice parameters (Å, degrees): 3.169 3.169 3.169 90.00 90.00 90.00
Fractional coordinates of all 2 atoms:
Os 0.000 0.000 0.000
Br 0.500 0.500 0.500

b | Computed, not measured: a geometry-optimized OsBr structure at the GGA-PBEsol level of DFT.

Properties
- M_tot: 0.570 μB/cell
- SG: Fm-3m
- Crystal system: cubic

Lattice parameters (Å, degrees): 3.673 3.673 3.673 60.00 60.00 60.00
Fractional coordinates of all 2 atoms:
Os 0.000 0.000 0.000
Br 0.500 0.500 0.500

c | Computed, not measured: a geometry-optimized OsBr structure at the GGA-PBEsol level of DFT.

Properties
- M_tot: 0.000 μB/cell
- SG: Cm
- Crystal system: monoclinic

Lattice parameters (Å, degrees): 6.509 6.509 7.920 121.88 121.88 26.17
Fractional coordinates of all 6 atoms:
Os 0.000 0.000 0.000
Os 0.200 0.200 0.369
Os 0.513 0.513 0.268
Br 0.309 0.309 0.735
Br 0.602 0.602 0.856
Br 0.873 0.873 0.352

d | Computed, not measured: a geometry-optimized OsBr structure at the GGA-PBEsol level of DFT.

Properties
- M_tot: 0.000 μB/cell
- SG: Imma
- Crystal system: orthorhombic

Lattice parameters (Å, degrees): 8.904 8.904 8.904 160.61 157.80 29.64
Fractional coordinates of all 4 atoms:
Os 0.295 0.045 0.250
Os 0.705 0.955 0.750
Br 0.102 0.352 0.750
Br 0.898 0.648 0.250

Which of them is least stable? Easy: b.